[1]
Below is a PBEsol-optimized structure of MnPb2Au, with properties calculated at the meta-GGA SCAN level.

Calculated values
Symmetry ... P4/mmm
E_tot ... -59.673 eV/atom

abc: 5.0361 5.0361 3.4105
angles: 90.00 90.00 90.00
Closest atoms and distances in Å follow each position.
Fractional positions:
Mn 0.0000 0.0000 0.0000  8 Pb 3.04
Pb 0.0000 0.5000 0.5000  4 Au 3.04, 4 Mn 3.04
Pb 0.5000 0.0000 0.5000  4 Au 3.04, 4 Mn 3.04
Au 0.5000 0.5000 0.0000  8 Pb 3.04

[2]
Below is a PBEsol-optimized structure of MnPb2Au, with properties calculated at the meta-GGA SCAN level.

Calculated values
Symmetry ... Imm2
E_tot ... -59.749 eV/atom

abc: 6.0675 6.0675 6.0675
angles: 148.41 130.59 59.84
Closest atoms and distances in Å follow each position.
Fractional positions:
Mn 0.0000 0.0000 0.0000  2 Au 2.65
Pb 0.2475 0.7475 0.5000  4 Au 3.08, 2 Mn 3.08, 4 Pb 3.30-3.37
Pb 0.5370 0.5370 0.0000  4 Mn 3.05, 2 Au 3.25, 4 Pb 3.30-3.37
Au 0.8030 0.3030 0.5000  2 Mn 2.65

[3]
Below is a PBEsol-optimized structure of MnPb2Au, with properties calculated at the meta-GGA SCAN level.

Calculated values
Symmetry ... P2/m
E_tot ... -59.673 eV/atom

abc: 4.7512 3.4908 5.8241
angles: 90.00 113.26 90.00
Closest atoms and distances in Å follow each position.
Fractional positions:
Mn 0.0000 0.0000 0.0000  6 Pb 2.94-2.95
Pb 0.5000 0.0000 0.5000  2 Mn 2.94, 4 Au 2.95
Pb 0.5000 0.5000 0.0000  2 Au 2.94, 4 Mn 2.95
Au 0.0000 0.5000 0.5000  6 Pb 2.94-2.95

[4]
Below is a PBEsol-optimized structure of MnPb2Au, with properties calculated at the meta-GGA SCAN level.

Calculated values
Symmetry ... Pmmm
E_tot ... -59.602 eV/atom

abc: 3.5299 3.6711 6.6983
angles: 90.00 90.00 90.00
Closest atoms and distances in Å follow each position.
Fractional positions:
Mn 0.0000 0.0000 0.0000  8 Pb 3.04, 2 Au 3.35
Pb 0.5000 0.5000 0.2471  4 Mn 3.04, 4 Au 3.06, 2 Pb 3.31-3.39
Pb 0.5000 0.5000 0.7529  4 Mn 3.04, 4 Au 3.06, 2 Pb 3.31-3.39
Au 0.0000 0.0000 0.5000  8 Pb 3.06, 2 Mn 3.35

[5]
Below is a PBEsol-optimized structure of MnPd2Au, with properties calculated at the meta-GGA SCAN level.

Calculated values
Symmetry ... Fm-3m
E_tot ... -38.652 eV/atom

abc: 4.4046 4.4046 4.4046
angles: 60.00 60.00 60.00
Closest atoms and distances in Å follow each position.
Fractional positions:
Mn 0.0000 0.0000 0.0000  8 Pd 2.70
Pd 0.2500 0.2500 0.2500  4 Au 2.70, 4 Mn 2.70
Pd 0.7500 0.7500 0.7500  4 Au 2.70, 4 Mn 2.70
Au 0.5000 0.5000 0.5000  8 Pd 2.70

[6]
Below is a PBEsol-optimized structure of MnPdAu3, with properties calculated at the meta-GGA SCAN level.

Calculated values
Symmetry ... Pm-3m
E_tot ... -51.006 eV/atom

abc: 4.8982 4.8982 4.8982
angles: 90.00 90.00 90.00
Closest atoms and distances in Å follow each position.
Fractional positions:
Mn 0.0000 0.0000 0.0000  12 Au 3.46
Pd 0.5000 0.5000 0.5000  6 Au 2.45
Au 0.0000 0.5000 0.5000  2 Pd 2.45
Au 0.5000 0.0000 0.5000  2 Pd 2.45
Au 0.5000 0.5000 0.0000  2 Pd 2.45

[7]
Below is a PBEsol-optimized structure of Sc2MnPdAu, with properties calculated at the meta-GGA SCAN level.

Calculated values
Symmetry ... P4/mmm
E_tot ... -29.637 eV/atom

abc: 5.0103 5.0103 4.7561
angles: 90.00 90.00 90.00
Closest atoms and distances in Å follow each position.
Fractional positions:
Sc 0.0000 0.5000 0.0000  2 Au 2.51
Sc 0.5000 0.0000 0.0000  2 Au 2.51
Mn 0.0000 0.0000 0.5000  2 Au 2.38
Pd 0.5000 0.5000 0.5000  8 Sc 3.45, 4 Mn 3.54
Au 0.0000 0.0000 0.0000  2 Mn 2.38, 4 Sc 2.51

[8]
Below is a PBEsol-optimized structure of Mn2Pt2Au, with properties calculated at the meta-GGA SCAN level.

Calculated values
Symmetry ... P4/mbm
E_tot ... -49.740 eV/atom

abc: 7.3389 7.3389 2.8332
angles: 90.00 90.00 90.00
Closest atoms and distances in Å follow each position.
Fractional positions:
Mn 0.1626 0.3374 0.0000  6 Pt 2.53-2.61, 2 Mn 2.83
Mn 0.3374 0.8374 0.0000  6 Pt 2.53-2.61, 2 Mn 2.83
Mn 0.6626 0.1626 0.0000  6 Pt 2.53-2.61, 2 Mn 2.83
Mn 0.8374 0.6626 0.0000  6 Pt 2.53-2.61, 2 Mn 2.83
Pt 0.1350 0.6350 0.5000  6 Mn 2.53-2.61, 3 Pt 2.80-2.83
Pt 0.3650 0.1350 0.5000  6 Mn 2.53-2.61, 3 Pt 2.80-2.83
Pt 0.6350 0.8650 0.5000  6 Mn 2.53-2.61, 3 Pt 2.80-2.83
Pt 0.8650 0.3650 0.5000  6 Mn 2.53-2.61, 3 Pt 2.80-2.83
Au 0.0000 0.0000 0.5000  2 Au 2.83, 4 Pt 2.86, 8 Mn 3.09
Au 0.5000 0.5000 0.5000  2 Au 2.83, 4 Pt 2.86, 8 Mn 3.09

[9]
Below is a PBEsol-optimized structure of MnPtAu, with properties calculated at the meta-GGA SCAN level.

Calculated values
Symmetry ... Imm2
E_tot ... -53.015 eV/atom

abc: 4.9060 4.9060 4.9060
angles: 146.12 135.97 56.69
Closest atoms and distances in Å follow each position.
Fractional positions:
Mn 0.0000 0.0000 0.0000  4 Pt 2.67, 5 Au 2.75-2.86, 2 Mn 2.86
Pt 0.6508 0.6508 0.0000  4 Mn 2.67, 5 Au 2.76-2.80, 2 Pt 2.86
Au 0.3310 0.3310 0.0000  5 Mn 2.75-2.86, 5 Pt 2.76-2.80, 2 Au 2.86

[10]
Below is a PBEsol-optimized structure of MnPtAu3, with properties calculated at the meta-GGA SCAN level.

Calculated values
Symmetry ... Pm-3m
E_tot ... -58.165 eV/atom

abc: 4.6678 4.6678 4.6678
angles: 90.00 90.00 90.00
Closest atoms and distances in Å follow each position.
Fractional positions:
Mn 0.0000 0.0000 0.0000  6 Au 2.33
Pt 0.5000 0.5000 0.5000  12 Au 3.30
Au 0.0000 0.0000 0.5000  2 Mn 2.33
Au 0.0000 0.5000 0.0000  2 Mn 2.33
Au 0.5000 0.0000 0.0000  2 Mn 2.33

[11]
Below is a PBEsol-optimized structure of Mn2PtAu, with properties calculated at the meta-GGA SCAN level.

Calculated values
Symmetry ... Fm-3m
E_tot ... -44.579 eV/atom

abc: 4.3979 4.3979 4.3979
angles: 60.00 60.00 60.00
Closest atoms and distances in Å follow each position.
Fractional positions:
Mn 0.2500 0.2500 0.2500  4 Pt 2.69, 4 Au 2.69
Mn 0.7500 0.7500 0.7500  4 Pt 2.69, 4 Au 2.69
Pt 0.0000 0.0000 0.0000  8 Mn 2.69
Au 0.5000 0.5000 0.5000  8 Mn 2.69

[12]
Below is a PBEsol-optimized structure of MnPtAu, with properties calculated at the meta-GGA SCAN level.

Calculated values
Symmetry ... I4mm
E_tot ... -52.981 eV/atom

abc: 4.9627 4.9627 4.9627
angles: 142.21 142.21 54.52
Closest atoms and distances in Å follow each position.
Fractional positions:
Mn 0.0000 0.0000 0.0000  4 Pt 2.62, 4 Au 2.71
Pt 0.6478 0.6478 0.0000  4 Mn 2.62, 5 Au 2.77-2.80
Au 0.3333 0.3333 0.0000  5 Mn 2.71-2.94, 5 Pt 2.77-2.80

[13]
Below is a PBEsol-optimized structure of Mn2Sb2PtAu, with properties calculated at the meta-GGA SCAN level.

Calculated values
Symmetry ... R3m
E_tot ... -42.313 eV/atom

abc: 7.6765 7.6765 7.6765
angles: 33.37 33.37 33.37
Closest atoms and distances in Å follow each position.
Fractional positions:
Mn 0.0000 0.0000 0.0000  3 Pt 2.69, 1 Au 2.78
Mn 0.4952 0.4952 0.4952  1 Pt 2.64, 3 Au 2.71
Sb 0.2512 0.2512 0.2512  1 Pt 2.66, 3 Au 2.73
Sb 0.7451 0.7451 0.7451  3 Pt 2.68, 1 Au 2.75
Pt 0.3737 0.3737 0.3737  4 Mn 2.64-2.69, 4 Sb 2.66-2.68
Au 0.8718 0.8718 0.8718  4 Mn 2.71-2.78, 4 Sb 2.73-2.75

[14]
Below is a PBEsol-optimized structure of RbMnAuS2, with properties calculated at the meta-GGA SCAN level.

Calculated values
Symmetry ... P4/mmm
E_tot ... -25.541 eV/atom

abc: 4.4587 4.4587 6.8954
angles: 90.00 90.00 90.00
Closest atoms and distances in Å follow each position.
Fractional positions:
Rb 0.0000 0.0000 0.0000  4 Au 3.15, 2 Mn 3.45
Mn 0.0000 0.0000 0.5000  4 S 2.23
Au 0.5000 0.5000 0.0000  4 Rb 3.15
S 0.0000 0.5000 0.5000  2 Mn 2.23
S 0.5000 0.0000 0.5000  2 Mn 2.23

[15]
Below is a PBEsol-optimized structure of RbMn2AuSe, with properties calculated at the meta-GGA SCAN level.

Calculated values
Symmetry ... P4/mmm
E_tot ... -29.220 eV/atom

abc: 4.6638 4.6638 6.2823
angles: 90.00 90.00 90.00
Closest atoms and distances in Å follow each position.
Fractional positions:
Rb 0.0000 0.0000 0.0000  2 Se 3.14, 4 Au 3.30
Mn 0.0000 0.5000 0.5000  2 Se 2.33
Mn 0.5000 0.0000 0.5000  2 Se 2.33
Au 0.5000 0.5000 0.0000  4 Rb 3.30
Se 0.0000 0.0000 0.5000  4 Mn 2.33

[16]
Below is a PBEsol-optimized structure of RbMn2SiAu, with properties calculated at the meta-GGA SCAN level.

Calculated values
Symmetry ... P4/mmm
E_tot ... -24.981 eV/atom

abc: 4.6971 4.6971 5.1679
angles: 90.00 90.00 90.00
Closest atoms and distances in Å follow each position.
Fractional positions:
Rb 0.0000 0.0000 0.0000  4 Mn 2.35, 2 Si 2.58
Mn 0.0000 0.5000 0.0000  2 Rb 2.35
Mn 0.5000 0.0000 0.0000  2 Rb 2.35
Si 0.0000 0.0000 0.5000  2 Rb 2.58
Au 0.5000 0.5000 0.5000  4 Si 3.32, 8 Mn 3.49

[17]
Below is a PBEsol-optimized structure of MnReAu2, with properties calculated at the meta-GGA SCAN level.

Calculated values
Symmetry ... Pm
E_tot ... -56.746 eV/atom

abc: 2.7612 3.7146 5.9058
angles: 90.00 92.14 90.00
Closest atoms and distances in Å follow each position.
Fractional positions:
Mn 0.0000 0.0000 0.0000  2 Re 2.45
Re 0.4143 0.5000 0.1979  2 Mn 2.45, 1 Au 2.72
Au 0.4688 0.5000 0.7396  1 Re 2.72, 6 Au 2.76-2.83, 4 Mn 2.76-2.79
Au 0.9491 0.0000 0.4647  1 Mn 2.75, 6 Au 2.76-2.83, 4 Re 2.78-2.82

[18]
Below is a PBEsol-optimized structure of MnRe2Au, with properties calculated at the meta-GGA SCAN level.

Calculated values
Symmetry ... P4/mmm
E_tot ... -57.097 eV/atom

abc: 2.6919 2.6919 7.7480
angles: 90.00 90.00 90.00
Closest atoms and distances in Å follow each position.
Fractional positions:
Mn 0.0000 0.0000 0.0000  8 Re 2.55, 4 Mn 2.69
Re 0.5000 0.5000 0.2189  4 Mn 2.55, 4 Re 2.69
Re 0.5000 0.5000 0.7811  4 Mn 2.55, 4 Re 2.69
Au 0.0000 0.0000 0.5000  4 Au 2.69, 8 Re 2.89

[19]
Below is a PBEsol-optimized structure of Mn2ReAu, with properties calculated at the meta-GGA SCAN level.

Calculated values
Symmetry ... Fm-3m
E_tot ... -44.251 eV/atom

abc: 4.2909 4.2909 4.2909
angles: 60.00 60.00 60.00
Closest atoms and distances in Å follow each position.
Fractional positions:
Mn 0.2500 0.2500 0.2500  4 Re 2.63, 4 Au 2.63
Mn 0.7500 0.7500 0.7500  4 Re 2.63, 4 Au 2.63
Re 0.0000 0.0000 0.0000  8 Mn 2.63
Au 0.5000 0.5000 0.5000  8 Mn 2.63

[20]
Below is a PBEsol-optimized structure of Mn2ReAu, with properties calculated at the meta-GGA SCAN level.

Calculated values
Symmetry ... P4mm
E_tot ... -44.128 eV/atom

abc: 2.6970 2.6970 7.4559
angles: 90.00 90.00 90.00
Closest atoms and distances in Å follow each position.
Fractional positions:
Mn 0.0000 0.0000 0.0000  8 Mn 2.48-2.70, 4 Re 2.51
Mn 0.5000 0.5000 0.2131  8 Mn 2.48-2.70
Re 0.5000 0.5000 0.7803  4 Mn 2.51, 4 Re 2.70
Au 0.0000 0.0000 0.4860  4 Au 2.70, 4 Mn 2.79, 4 Re 2.91

[21]
Below is a PBEsol-optimized structure of MnRe2Au, with properties calculated at the meta-GGA SCAN level.

Calculated values
Symmetry ... Fm-3m
E_tot ... -56.844 eV/atom

abc: 4.3376 4.3376 4.3376
angles: 60.00 60.00 60.00
Closest atoms and distances in Å follow each position.
Fractional positions:
Mn 0.0000 0.0000 0.0000  8 Re 2.66
Re 0.2500 0.2500 0.2500  4 Au 2.66, 4 Mn 2.66
Re 0.7500 0.7500 0.7500  4 Mn 2.66, 4 Au 2.66
Au 0.5000 0.5000 0.5000  8 Re 2.66

[22]
Below is a PBEsol-optimized structure of MnReAu2, with properties calculated at the meta-GGA SCAN level.

Calculated values
Symmetry ... R-3m
E_tot ... -56.732 eV/atom

abc: 9.2176 9.2176 9.2176
angles: 17.45 17.45 17.45
Closest atoms and distances in Å follow each position.
Fractional positions:
Mn 0.0000 0.0000 0.0000  6 Au 2.74, 6 Mn 2.80
Re 0.5000 0.5000 0.5000  6 Re 2.80, 6 Au 2.83
Au 0.2520 0.2520 0.2520  3 Mn 2.74, 6 Au 2.80, 3 Re 2.83
Au 0.7480 0.7480 0.7480  3 Mn 2.74, 6 Au 2.80, 3 Re 2.83

[23]
Below is a PBEsol-optimized structure of MnReAu2S, with properties calculated at the meta-GGA SCAN level.

Calculated values
Symmetry ... P4/mmm
E_tot ... -46.828 eV/atom

abc: 5.0961 5.0961 4.2762
angles: 90.00 90.00 90.00
Closest atoms and distances in Å follow each position.
Fractional positions:
Mn 0.0000 0.0000 0.0000  8 Au 3.33, 4 S 3.60
Re 0.5000 0.5000 0.5000  2 S 2.14
Au 0.0000 0.5000 0.5000  2 Re 2.55
Au 0.5000 0.0000 0.5000  2 Re 2.55
S 0.5000 0.5000 0.0000  2 Re 2.14

[24]
Below is a PBEsol-optimized structure of MnRhAu2, with properties calculated at the meta-GGA SCAN level.

Calculated values
Symmetry ... F-43m
E_tot ... -47.777 eV/atom

abc: 4.4296 4.4296 4.4296
angles: 60.00 60.00 60.00
Closest atoms and distances in Å follow each position.
Fractional positions:
Mn 0.0000 0.0000 0.0000  4 Rh 2.71, 4 Au 2.71
Rh 0.7500 0.7500 0.7500  4 Au 2.71, 4 Mn 2.71
Au 0.2500 0.2500 0.2500  4 Mn 2.71, 4 Au 2.71
Au 0.5000 0.5000 0.5000  4 Rh 2.71, 4 Au 2.71

[25]
Below is a PBEsol-optimized structure of Mn2RhAu, with properties calculated at the meta-GGA SCAN level.

Calculated values
Symmetry ... R-3m
E_tot ... -35.098 eV/atom

abc: 8.6263 8.6263 8.6263
angles: 18.74 18.74 18.74
Closest atoms and distances in Å follow each position.
Fractional positions:
Mn 0.2459 0.2459 0.2459  3 Rh 2.59, 3 Au 2.75, 6 Mn 2.81
Mn 0.7541 0.7541 0.7541  3 Rh 2.59, 3 Au 2.75, 6 Mn 2.81
Rh 0.5000 0.5000 0.5000  6 Mn 2.59, 6 Rh 2.81
Au 0.0000 0.0000 0.0000  6 Mn 2.75, 6 Au 2.81

[26]
Below is a PBEsol-optimized structure of MnRhAu2, with properties calculated at the meta-GGA SCAN level.

Calculated values
Symmetry ... I-4m2
E_tot ... -47.858 eV/atom

abc: 4.7924 4.7924 4.7924
angles: 131.47 131.47 71.07
Closest atoms and distances in Å follow each position.
Fractional positions:
Mn 0.0000 0.0000 0.0000  4 Rh 2.77, 8 Au 2.77-2.79
Rh 0.7500 0.2500 0.5000  4 Mn 2.77, 8 Au 2.77-2.79
Au 0.2500 0.7500 0.5000  4 Mn 2.77, 4 Au 2.77, 4 Rh 2.79
Au 0.5000 0.5000 0.0000  4 Rh 2.77, 4 Au 2.77, 4 Mn 2.79

[27]
Below is a PBEsol-optimized structure of MnRhAu2, with properties calculated at the meta-GGA SCAN level.

Calculated values
Symmetry ... P4mm
E_tot ... -47.820 eV/atom

abc: 3.1862 3.1862 5.9960
angles: 90.00 90.00 90.00
Closest atoms and distances in Å follow each position.
Fractional positions:
Mn 0.0000 0.0000 0.0000  4 Rh 2.56, 5 Au 2.73-2.81
Rh 0.5000 0.5000 0.2029  4 Mn 2.56, 5 Au 2.75-2.76
Au 0.0000 0.0000 0.4694  4 Rh 2.76, 4 Au 2.79, 1 Mn 2.81
Au 0.5000 0.5000 0.7439  4 Mn 2.73, 1 Rh 2.75, 4 Au 2.79

[28]
Below is a PBEsol-optimized structure of MnRh2Au, with properties calculated at the meta-GGA SCAN level.

Calculated values
Symmetry ... Cmmm
E_tot ... -38.801 eV/atom

abc: 2.6949 2.6949 8.8144
angles: 90.00 90.00 116.20
Closest atoms and distances in Å follow each position.
Fractional positions:
Mn 0.0000 0.0000 0.0000  4 Rh 2.45, 4 Mn 2.69
Rh 0.5000 0.5000 0.2257  2 Mn 2.45, 4 Rh 2.69
Rh 0.5000 0.5000 0.7743  2 Mn 2.45, 4 Rh 2.69
Au 0.0000 0.0000 0.5000  6 Au 2.69-2.85, 4 Rh 2.81

[29]
Below is a PBEsol-optimized structure of MnRh2Au, with properties calculated at the meta-GGA SCAN level.

Calculated values
Symmetry ... R3m
E_tot ... -38.797 eV/atom

abc: 8.8818 8.8818 8.8818
angles: 17.72 17.72 17.72
Closest atoms and distances in Å follow each position.
Fractional positions:
Mn 0.0000 0.0000 0.0000  3 Rh 2.56, 3 Au 2.72, 6 Mn 2.74
Rh 0.4927 0.4927 0.4927  9 Rh 2.68-2.74, 3 Au 2.83
Rh 0.7434 0.7434 0.7434  3 Mn 2.56, 9 Rh 2.68-2.74
Au 0.2489 0.2489 0.2489  3 Mn 2.72, 6 Au 2.74, 3 Rh 2.83

[30]
Below is a PBEsol-optimized structure of Mn2RhAu, with properties calculated at the meta-GGA SCAN level.

Calculated values
Symmetry ... I-4m2
E_tot ... -35.254 eV/atom

abc: 4.8521 4.8521 4.8521
angles: 134.47 134.47 66.36
Closest atoms and distances in Å follow each position.
Fractional positions:
Mn 0.0000 0.0000 0.0000  4 Rh 2.66, 4 Mn 2.77, 4 Au 2.77
Mn 0.7500 0.2500 0.5000  4 Au 2.66, 4 Rh 2.77, 4 Mn 2.77
Rh 0.5000 0.5000 0.0000  8 Mn 2.66-2.77, 4 Au 2.77
Au 0.2500 0.7500 0.5000  8 Mn 2.66-2.77, 4 Rh 2.77